BePSe2 | GGA-PBE | optimized geometry

The calculation puts the volume at 149.6 Å³/cell. The calculation puts the uncorrected formation energy at 262 meV per atom. The value obtained for the energy above the most stable polymorph in this dataset is 326 meV/atom. As for the total DFT energy (no corrections): -3.7641 eV per atom. As for the crystal system: orthorhombic.

The space group is Imm2 (No. 44) and the conventional cell measures 3.362, 4.278 and 10.402 Å, with angles of 90.00, 90.00 and 90.00 degrees. Symmetry generates all atoms from Be at (0.000, 0.000, 0.000), P at (0.000, 0.500, 0.668), Se at (0.000, 0.000, 0.541) and Se at (0.000, 0.500, 0.352).

BePSe2 | GGA-PBE | optimized geometry

The calculation puts the volume at 82.2 Å³/cell. The calculation puts the uncorrected formation energy at 16 meV per atom. The value obtained for the energy above the most stable polymorph in this dataset is 80 meV/atom. As for the total DFT energy (no corrections): -4.0102 eV per atom. As for the crystal system: tetragonal.

The space group is P4mm (No. 99) and the conventional cell measures 3.062, 3.062 and 8.767 Å, with angles of 90.00, 90.00 and 90.00 degrees. Symmetry generates all atoms from Be at (0.000, 0.000, 0.000), P at (0.500, 0.500, 0.918), Se at (0.000, 0.000, 0.249) and Se at (0.500, 0.500, 0.667).

BePSe2 | GGA-PBE | optimized geometry

The calculation puts the volume at 88.3 Å³/cell. The calculation puts the uncorrected formation energy at -64 meV per atom. The value obtained for the energy above the most stable polymorph in this dataset is 0 meV/atom. As for the total DFT energy (no corrections): -4.0905 eV per atom. As for the crystal system: monoclinic.

The space group is Pm (No. 6) and the conventional cell measures 4.125, 3.250 and 6.882 Å, with angles of 90.00, 106.81 and 90.00 degrees. Symmetry generates all atoms from Be at (0.000, 0.000, 0.000), P at (0.568, 0.500, 0.930), Se at (0.147, 0.000, 0.710) and Se at (0.342, 0.500, 0.197).

Be3PSe | GGA-PBE | optimized geometry

The calculation puts the volume at 73.7 Å³/cell. The calculation puts the uncorrected formation energy at 399 meV per atom. The value obtained for the energy above the most stable polymorph in this dataset is 0 meV/atom. As for the total DFT energy (no corrections): -3.6161 eV per atom. As for the crystal system: cubic.

The space group is Pm-3m (No. 221) and the conventional cell measures 4.193, 4.193 and 4.193 Å, with angles of 90.00, 90.00 and 90.00 degrees. Symmetry generates all atoms from Be at (0.000, 0.000, 0.500), P at (0.000, 0.000, 0.000) and Se at (0.500, 0.500, 0.500).

BePSe2 | GGA-PBE | optimized geometry

The calculation puts the volume at 69.8 Å³/cell. The calculation puts the uncorrected formation energy at 77 meV per atom. The value obtained for the energy above the most stable polymorph in this dataset is 141 meV/atom. As for the total DFT energy (no corrections): -3.9496 eV per atom. As for the crystal system: tetragonal.

The space group is P4mm (No. 99) and the conventional cell measures 3.650, 3.650 and 5.238 Å, with angles of 90.00, 90.00 and 90.00 degrees. Symmetry generates all atoms from Be at (0.000, 0.000, 0.000), P at (0.500, 0.500, 0.456), Se at (0.000, 0.000, 0.441) and Se at (0.500, 0.500, 0.938).

BePSe2 | GGA-PBE | optimized geometry

The calculation puts the volume at 137.1 Å³/cell. The calculation puts the uncorrected formation energy at 205 meV per atom. The value obtained for the energy above the most stable polymorph in this dataset is 269 meV/atom. As for the total DFT energy (no corrections): -3.8216 eV per atom. As for the crystal system: orthorhombic.

The space group is Cmmm (No. 65) and the conventional cell measures 5.269, 7.290 and 3.569 Å, with angles of 90.00, 90.00 and 90.00 degrees. Symmetry generates all atoms from Be at (0.000, 0.000, 0.000), P at (0.000, 0.500, 0.000) and Se at (0.000, 0.234, 0.500).

BePSe2 | GGA-PBE | optimized geometry

The calculation puts the volume at 262.3 Å³/cell. The calculation puts the uncorrected formation energy at 813 meV per atom. The value obtained for the energy above the most stable polymorph in this dataset is 878 meV/atom. As for the total DFT energy (no corrections): -3.2130 eV per atom. As for the crystal system: cubic.

The space group is F-43m (No. 216) and the conventional cell measures 6.401, 6.401 and 6.401 Å, with angles of 90.00, 90.00 and 90.00 degrees. Symmetry generates all atoms from Be at (0.000, 0.000, 0.000), P at (0.250, 0.250, 0.250), Se at (0.000, 0.000, 0.500) and Se at (0.250, 0.250, 0.750).

BePSe2 | GGA-PBE | optimized geometry

The calculation puts the volume at 101.0 Å³/cell. The calculation puts the uncorrected formation energy at 312 meV per atom. The value obtained for the energy above the most stable polymorph in this dataset is 377 meV/atom. As for the total DFT energy (no corrections): -3.7140 eV per atom. As for the crystal system: orthorhombic.

The space group is Pmmm (No. 47) and the conventional cell measures 3.413, 3.419 and 8.654 Å, with angles of 90.00, 90.00 and 90.00 degrees. Symmetry generates all atoms from Be at (0.000, 0.000, 0.000), P at (0.500, 0.000, 0.500), Se at (0.000, 0.500, 0.500) and Se at (0.500, 0.500, 0.000).